# Tm2CoCuSi4, optimized geometry, DFT PBE-GGA
# ρ: 7.4 g/cm³
# Energy: -93.7 eV/cell
data_Tm2CoCuSi4
_chemical_formula_sum 'Tm4 Co2 Cu2 Si8'
_cell_length_a 3.945
_cell_length_b 3.948
_cell_length_c 16.546
_cell_angle_alpha 90.00
_cell_angle_beta 90.00
_cell_angle_gamma 90.00
_space_group_name_H-M_alt 'A m m 2'
_space_group_IT_number 38
_space_group_name_Hall 'A 2 -2'
loop_
_atom_site_label
_atom_site_fract_x
_atom_site_fract_y
_atom_site_fract_z
Tm1 0.000 0.000 0.000
Tm2 0.500 0.000 0.211
Co1 0.500 0.000 0.424
Cu1 0.000 0.000 0.773
Si1 0.000 0.000 0.357
Si2 0.000 0.000 0.637
Si3 0.500 0.000 0.558
Si4 0.500 0.000 0.857



# CoCuSiW, optimized geometry, DFT PBE-GGA
# Polymorph energy (0 for the lowest one): 0.000 eV/atom
# ρ: 11.0 g/cm³
data_CoCuSiW
_chemical_formula_sum 'Co4 Cu4 Si4 W4'
_cell_length_a 5.873
_cell_length_b 5.873
_cell_length_c 5.873
_cell_angle_alpha 90.00
_cell_angle_beta 90.00
_cell_angle_gamma 90.00
_space_group_name_H-M_alt 'F -4 3 m'
_space_group_IT_number 216
_space_group_name_Hall 'F -4 2 3'
loop_
_atom_site_label
_atom_site_fract_x
_atom_site_fract_y
_atom_site_fract_z
Co1 0.000 0.000 0.000
Cu1 0.250 0.250 0.750
Si1 0.000 0.000 0.500
W1 0.250 0.250 0.250



# CoCuSiW, optimized geometry, DFT PBE-GGA
# Polymorph energy (0 for the lowest one): 0.029 eV/atom
# ρ: 11.0 g/cm³
data_CoCuSiW
_chemical_formula_sum 'Co4 Cu4 Si4 W4'
_cell_length_a 5.861
_cell_length_b 5.861
_cell_length_c 5.861
_cell_angle_alpha 90.00
_cell_angle_beta 90.00
_cell_angle_gamma 90.00
_space_group_name_H-M_alt 'F -4 3 m'
_space_group_IT_number 216
_space_group_name_Hall 'F -4 2 3'
loop_
_atom_site_label
_atom_site_fract_x
_atom_site_fract_y
_atom_site_fract_z
Co1 0.000 0.000 0.000
Cu1 0.250 0.250 0.250
Si1 0.250 0.250 0.750
W1 0.000 0.000 0.500



# CoCuSiW, optimized geometry, DFT PBE-GGA
# Polymorph energy (0 for the lowest one): 0.114 eV/atom
# ρ: 11.1 g/cm³
data_CoCuSiW
_chemical_formula_sum 'Co4 Cu4 Si4 W4'
_cell_length_a 5.855
_cell_length_b 5.855
_cell_length_c 5.855
_cell_angle_alpha 90.00
_cell_angle_beta 90.00
_cell_angle_gamma 90.00
_space_group_name_H-M_alt 'F -4 3 m'
_space_group_IT_number 216
_space_group_name_Hall 'F -4 2 3'
loop_
_atom_site_label
_atom_site_fract_x
_atom_site_fract_y
_atom_site_fract_z
Co1 0.000 0.000 0.000
Cu1 0.000 0.000 0.500
Si1 0.250 0.250 0.750
W1 0.250 0.250 0.250



# ZnCoCuSi, optimized geometry, DFT PBE-GGA
# Polymorph energy (0 for the lowest one): 0.126 eV/atom
# ρ: 7.5 g/cm³
data_ZnCoCuSi
_chemical_formula_sum 'Zn4 Co4 Cu4 Si4'
_cell_length_a 5.749
_cell_length_b 5.749
_cell_length_c 5.749
_cell_angle_alpha 90.00
_cell_angle_beta 90.00
_cell_angle_gamma 90.00
_space_group_name_H-M_alt 'F -4 3 m'
_space_group_IT_number 216
_space_group_name_Hall 'F -4 2 3'
loop_
_atom_site_label
_atom_site_fract_x
_atom_site_fract_y
_atom_site_fract_z
Zn1 0.000 0.000 0.000
Co1 0.000 0.000 0.500
Cu1 0.250 0.250 0.750
Si1 0.250 0.250 0.250



# ZnCoCuSi, optimized geometry, DFT PBE-GGA
# Polymorph energy (0 for the lowest one): 0.000 eV/atom
# ρ: 7.6 g/cm³
data_ZnCoCuSi
_chemical_formula_sum 'Zn4 Co4 Cu4 Si4'
_cell_length_a 5.728
_cell_length_b 5.728
_cell_length_c 5.728
_cell_angle_alpha 90.00
_cell_angle_beta 90.00
_cell_angle_gamma 90.00
_space_group_name_H-M_alt 'F -4 3 m'
_space_group_IT_number 216
_space_group_name_Hall 'F -4 2 3'
loop_
_atom_site_label
_atom_site_fract_x
_atom_site_fract_y
_atom_site_fract_z
Zn1 0.000 0.000 0.000
Co1 0.250 0.250 0.750
Cu1 0.250 0.250 0.250
Si1 0.000 0.000 0.500



# ZrCoCuSi, optimized geometry, DFT PBE-GGA
# Polymorph energy (0 for the lowest one): 0.200 eV/atom
# ρ: 7.1 g/cm³
data_ZrCoCuSi
_chemical_formula_sum 'Zr4 Co4 Cu4 Si4'
_cell_length_a 6.097
_cell_length_b 6.097
_cell_length_c 6.097
_cell_angle_alpha 90.00
_cell_angle_beta 90.00
_cell_angle_gamma 90.00
_space_group_name_H-M_alt 'F -4 3 m'
_space_group_IT_number 216
_space_group_name_Hall 'F -4 2 3'
loop_
_atom_site_label
_atom_site_fract_x
_atom_site_fract_y
_atom_site_fract_z
Zr1 0.000 0.000 0.000
Co1 0.250 0.250 0.250
Cu1 0.000 0.000 0.500
Si1 0.250 0.250 0.750



# ZrCoCuSi, optimized geometry, DFT PBE-GGA
# Polymorph energy (0 for the lowest one): 0.000 eV/atom
# ρ: 7.2 g/cm³
data_ZrCoCuSi
_chemical_formula_sum 'Zr4 Co4 Cu4 Si4'
_cell_length_a 6.056
_cell_length_b 6.056
_cell_length_c 6.056
_cell_angle_alpha 90.00
_cell_angle_beta 90.00
_cell_angle_gamma 90.00
_space_group_name_H-M_alt 'F -4 3 m'
_space_group_IT_number 216
_space_group_name_Hall 'F -4 2 3'
loop_
_atom_site_label
_atom_site_fract_x
_atom_site_fract_y
_atom_site_fract_z
Zr1 0.000 0.000 0.000
Co1 0.250 0.250 0.750
Cu1 0.250 0.250 0.250
Si1 0.000 0.000 0.500



# ZrCoCuSi, optimized geometry, DFT PBE-GGA
# Polymorph energy (0 for the lowest one): 0.147 eV/atom
# ρ: 7.1 g/cm³
data_ZrCoCuSi
_chemical_formula_sum 'Zr4 Co4 Cu4 Si4'
_cell_length_a 6.096
_cell_length_b 6.096
_cell_length_c 6.096
_cell_angle_alpha 90.00
_cell_angle_beta 90.00
_cell_angle_gamma 90.00
_space_group_name_H-M_alt 'F -4 3 m'
_space_group_IT_number 216
_space_group_name_Hall 'F -4 2 3'
loop_
_atom_site_label
_atom_site_fract_x
_atom_site_fract_y
_atom_site_fract_z
Zr1 0.000 0.000 0.000
Co1 0.000 0.000 0.500
Cu1 0.250 0.250 0.250
Si1 0.250 0.250 0.750



# ZrCoCuSi2, optimized geometry, DFT PBE-GGA
# ρ: 6.4 g/cm³
# Energy: -66.5 eV/cell
data_ZrCoCuSi2
_chemical_formula_sum 'Zr2 Co2 Cu2 Si4'
_cell_length_a 3.727
_cell_length_b 3.727
_cell_length_c 10.068
_cell_angle_alpha 90.00
_cell_angle_beta 90.00
_cell_angle_gamma 90.00
_space_group_name_H-M_alt 'I -4 m 2'
_space_group_IT_number 119
_space_group_name_Hall 'I -4 -2'
loop_
_atom_site_label
_atom_site_fract_x
_atom_site_fract_y
_atom_site_fract_z
Zr1 0.000 0.000 0.000
Co1 0.000 0.500 0.250
Cu1 0.000 0.500 0.750
Si1 0.000 0.000 0.384



# SmCoCu, optimized geometry, DFT PBE-GGA
# ρ: 7.2 g/cm³
# Energy of formation from the pure elements: 0.75 eV per atom
data_SmCoCu
_chemical_formula_sum 'Sm4 Co4 Cu4'
_cell_length_a 6.303
_cell_length_b 6.303
_cell_length_c 6.303
_cell_angle_alpha 90.00
_cell_angle_beta 90.00
_cell_angle_gamma 90.00
_space_group_name_H-M_alt 'F -4 3 m'
_space_group_IT_number 216
_space_group_name_Hall 'F -4 2 3'
loop_
_atom_site_label
_atom_site_fract_x
_atom_site_fract_y
_atom_site_fract_z
Sm1 0.000 0.000 0.000
Co1 0.250 0.250 0.750
Cu1 0.250 0.250 0.250



# CoCu2Sn, optimized geometry, DFT PBE-GGA
# ρ: 9.3 g/cm³
# Energy: -72.8 eV/cell
data_CoCu2Sn
_chemical_formula_sum 'Co4 Cu8 Sn4'
_cell_length_a 6.010
_cell_length_b 6.010
_cell_length_c 6.010
_cell_angle_alpha 90.00
_cell_angle_beta 90.00
_cell_angle_gamma 90.00
_space_group_name_H-M_alt 'F -4 3 m'
_space_group_IT_number 216
_space_group_name_Hall 'F -4 2 3'
loop_
_atom_site_label
_atom_site_fract_x
_atom_site_fract_y
_atom_site_fract_z
Co1 0.000 0.000 0.000
Cu1 0.000 0.000 0.500
Cu2 0.250 0.250 0.250
Sn1 0.250 0.250 0.750



# Co3CuSn5, optimized geometry, DFT PBE-GGA
# ρ: 8.1 g/cm³
# Energy: -44.0 eV/cell
data_Co3CuSn5
_chemical_formula_sum 'Co3 Cu1 Sn5'
_cell_length_a 5.2388
_cell_length_b 5.2388
_cell_length_c 7.2291
_cell_angle_alpha 90.00
_cell_angle_beta 90.00
_cell_angle_gamma 120.00
_space_group_name_H-M_alt 'P 6/m m m'
_space_group_IT_number 191
_space_group_name_Hall '-P 6 2'
loop_
_atom_site_label
_atom_site_fract_x
_atom_site_fract_y
_atom_site_fract_z
Co1 0.0000 0.5000 0.0000
Cu1 0.0000 0.0000 0.5000
Sn1 0.0000 0.0000 0.0000
Sn2 0.3333 0.6667 0.2931



# Sr2CoCuSn4, optimized geometry, DFT PBE-GGA
# ρ: 6.3 g/cm³
# Energy: -66.5 eV/cell
data_Sr2CoCuSn4
_chemical_formula_sum 'Sr4 Co2 Cu2 Sn8'
_cell_length_a 4.575
_cell_length_b 4.673
_cell_length_c 19.017
_cell_angle_alpha 90.00
_cell_angle_beta 90.00
_cell_angle_gamma 90.00
_space_group_name_H-M_alt 'A m m 2'
_space_group_IT_number 38
_space_group_name_Hall 'A 2 -2'
loop_
_atom_site_label
_atom_site_fract_x
_atom_site_fract_y
_atom_site_fract_z
Sr1 0.000 0.000 0.000
Sr2 0.500 0.000 0.219
Co1 0.000 0.000 0.794
Cu1 0.500 0.000 0.435
Sn1 0.000 0.000 0.358
Sn2 0.000 0.000 0.663
Sn3 0.500 0.000 0.570
Sn4 0.500 0.000 0.856